No. 1
Material: Nd2CdB3Pt12
Method: DFT, PBE
State: relaxed

Magnetization (Bohr magnetons per cell): 0.0
E_form (eV per atom): -0.352
Final energy (eV for the cell shown): -109.31

abc: 7.4195 7.4195 7.4195
angles: 65.59 65.59 65.59
With the nearest neighbours (Å) after each atom.
Fractional coordinates of all 18 atoms:
Cd  0.0000  0.0000  0.0000  6 Pt 2.58
Pt  0.8680  0.3986  0.8680  1 B 2.12
Pt  0.1320  0.6014  0.1320  1 B 2.12
Pt  0.6786  0.6786  0.0896  2 B 2.17
Pt  0.8680  0.8680  0.3986  1 B 2.12
Pt  0.3214  0.3214  0.9104  2 B 2.17
Pt  0.1320  0.1320  0.6014  1 B 2.12
Pt  0.3986  0.8680  0.8680  1 B 2.12
B  0.5000  0.0000  0.0000  6 Pt 2.12-2.17
B  0.0000  0.5000  0.0000  6 Pt 2.12-2.17
Pt  0.3214  0.9104  0.3214  2 B 2.17
Pt  0.6786  0.0896  0.6786  2 B 2.17
Pt  0.6014  0.1320  0.1320  1 B 2.12
Pt  0.9104  0.3214  0.3214  2 B 2.17
B  0.0000  0.0000  0.5000  6 Pt 2.12-2.17
Nd  0.3983  0.3983  0.3983  6 Pt 2.90-3.10
Nd  0.6017  0.6017  0.6017  6 Pt 2.90-3.10
Pt  0.0896  0.6786  0.6786  2 B 2.17



No. 2
Material: Nd2CdB2Rh5
Method: DFT, PBE
State: relaxed

Magnetization (Bohr magnetons per cell): 0.0
E_form (eV per atom): -0.603
Final energy (eV for the cell shown): -133.18

abc: 3.2509 9.8492 9.8492
angles: 90.00 90.00 90.00
With the nearest neighbours (Å) after each atom.
Fractional coordinates of all 20 atoms:
Nd  0.0000  0.8228  0.6772  3 B 2.82-2.99, 10 Rh 2.96-3.06
Nd  0.0000  0.3228  0.8228  3 B 2.82-2.99, 10 Rh 2.96-3.06
Cd  0.0000  0.0000  0.0000  8 Rh 2.88
Rh  0.5000  0.2692  0.5698  2 B 2.24
Rh  0.5000  0.5000  0.0000  4 B 2.34
Rh  0.5000  0.0698  0.7692  2 B 2.24
B  0.0000  0.3794  0.1206  6 Rh 2.24-2.34
Rh  0.5000  0.7692  0.9302  2 B 2.24
Rh  0.5000  0.7308  0.4302  2 B 2.24
Rh  0.5000  0.5698  0.7308  2 B 2.24
B  0.0000  0.1206  0.6206  6 Rh 2.24-2.34
Nd  0.0000  0.6772  0.1772  3 B 2.82-2.99, 10 Rh 2.96-3.06
Cd  0.0000  0.5000  0.5000  8 Rh 2.88
Nd  0.0000  0.1772  0.3228  3 B 2.82-2.99, 10 Rh 2.96-3.06
Rh  0.5000  0.2308  0.0698  2 B 2.24
B  0.0000  0.8794  0.3794  6 Rh 2.24-2.34
Rh  0.5000  0.9302  0.2308  2 B 2.24
Rh  0.5000  0.4302  0.2692  2 B 2.24
B  0.0000  0.6206  0.8794  6 Rh 2.24-2.34
Rh  0.5000  0.0000  0.5000  4 B 2.34



No. 3
Material: Nd3Cd2BRu3
Method: DFT, PBE
State: relaxed

Magnetization (Bohr magnetons per cell): 0.0
E_form (eV per atom): -0.105
Final energy (eV for the cell shown): -51.59

abc: 3.5297 7.8339 7.8339
angles: 120.00 90.00 90.00
With the nearest neighbours (Å) after each atom.
Fractional coordinates of all 9 atoms:
Cd  0.5000  0.3333  0.6667  6 Nd 3.13, 3 Ru 3.23
Nd  0.0000  0.3413  0.0000  1 B 2.67, 4 Ru 2.92
Ru  0.5000  0.7936  0.0000  2 B 2.39
B  0.0000  0.0000  0.0000  6 Ru 2.39, 3 Nd 2.67
Nd  0.0000  0.6587  0.6587  1 B 2.67, 4 Ru 2.92
Ru  0.5000  0.0000  0.7936  2 B 2.39
Nd  0.0000  0.0000  0.3413  1 B 2.67, 4 Ru 2.92
Cd  0.5000  0.6667  0.3333  6 Nd 3.13, 3 Ru 3.23
Ru  0.5000  0.2064  0.2064  2 B 2.39



No. 4
Material: Cd3NiB
Method: DFT, PBE
State: relaxed

Magnetization (Bohr magnetons per cell): 0.0
E_form (eV per atom): 0.702
Distance to the lowest polymorph of the same formula (eV/atom): 0.0000
Final energy (eV for the cell shown): -11.69

abc: 4.4929 4.4929 4.4929
angles: 90.00 90.00 90.00
With the nearest neighbours (Å) after each atom.
Fractional coordinates of all 5 atoms:
Ni  0.5000  0.5000  0.5000  12 Cd 3.18
Cd  0.0000  0.0000  0.5000  2 B 2.25
B  0.0000  0.0000  0.0000  6 Cd 2.25
Cd  0.0000  0.5000  0.0000  2 B 2.25
Cd  0.5000  0.0000  0.0000  2 B 2.25



No. 5
Material: CdNiB3
Method: DFT, PBE
State: relaxed

Magnetization (Bohr magnetons per cell): 0.0
E_form (eV per atom): 2.585
Distance to the lowest polymorph of the same formula (eV/atom): 1.4486
Final energy (eV for the cell shown): -13.81

abc: 4.2749 4.2749 4.2749
angles: 90.00 90.00 90.00
With the nearest neighbours (Å) after each atom.
Fractional coordinates of all 5 atoms:
Ni  0.5000  0.5000  0.5000  12 B 3.02
B  0.0000  0.0000  0.5000  2 Cd 2.14
Cd  0.0000  0.0000  0.0000  6 B 2.14
B  0.5000  0.0000  0.0000  2 Cd 2.14
B  0.0000  0.5000  0.0000  2 Cd 2.14



No. 6
Material: CdNi2B
Method: DFT, PBE
State: relaxed

Magnetization (Bohr magnetons per cell): 0.0
E_form (eV per atom): 0.559
Distance to the lowest polymorph of the same formula (eV/atom): 0.6545
Final energy (eV for the cell shown): -16.92

abc: 4.0672 4.0672 4.0672
angles: 60.00 60.00 60.00
With the nearest neighbours (Å) after each atom.
Fractional coordinates of all 4 atoms:
B  0.0000  0.0000  0.0000  8 Ni 2.49
Cd  0.5000  0.5000  0.5000  8 Ni 2.49
Ni  0.7500  0.7500  0.7500  4 Cd 2.49, 4 B 2.49
Ni  0.2500  0.2500  0.2500  4 B 2.49, 4 Cd 2.49



No. 7
Material: CdNi2B
Method: DFT, PBE
State: relaxed

Magnetization (Bohr magnetons per cell): 0.0
E_form (eV per atom): 0.420
Distance to the lowest polymorph of the same formula (eV/atom): 0.5157
Final energy (eV for the cell shown): -34.95

abc: 4.5164 4.5164 6.9348
angles: 71.00 71.00 90.00
With the nearest neighbours (Å) after each atom.
Fractional coordinates of all 8 atoms:
Ni  0.3392  0.6250  0.2500  2 B 1.92
B  0.2500  0.7500  0.5000  4 Ni 1.92
Ni  0.4108  0.1250  0.2500  2 B 1.92
Ni  0.8750  0.6608  0.7500  2 B 1.92
Cd  0.7500  0.2500  0.5000  8 Ni 2.84-3.08
Cd  0.0000  0.0000  0.0000  8 Ni 2.84-3.08
B  0.5000  0.5000  0.0000  4 Ni 1.92
Ni  0.3750  0.5892  0.7500  2 B 1.92



No. 8
Material: CdNi2B
Method: DFT, PBE
State: relaxed

Magnetization (Bohr magnetons per cell): 0.0
E_form (eV per atom): -0.096
Distance to the lowest polymorph of the same formula (eV/atom): 0.0000
Final energy (eV for the cell shown): -19.54

abc: 3.0073 3.0073 6.6067
angles: 76.84 76.84 60.00
With the nearest neighbours (Å) after each atom.
Fractional coordinates of all 4 atoms:
B  0.0000  0.0000  0.0000  6 Ni 1.98
Ni  0.7169  0.7169  0.8494  3 B 1.98
Ni  0.2831  0.2831  0.1506  3 B 1.98
Cd  0.5000  0.5000  0.5000  6 Ni 2.82, 6 Cd 3.01